A geometry-optimized Pr2NiF structure. Source: the Alexandria database, functional GGA+U.

abc: 3.3300 3.3300 9.1764
angles: 79.55 79.55 60.00
Sites, in units of the cell vectors:
Ni (0.0000, 0.0000, 0.0000)
Pr (0.0929, 0.0929, 0.7213)
Pr (0.9071, 0.9071, 0.2787)
F (0.5000, 0.5000, 0.5000)

Results
spin magnetization	0.000	μB per formula unit
uncorrected energy	-15.696	eV/cell
space-group type	R-3m (166)